Arrangement w

Below is a geometry-optimized Li2AsPt2 structure, with properties calculated at the PBE-GGA level.

abc: 9.5413 5.0649 7.3095
angles: 90.00 102.72 90.00
Space group C2/c (No. 15)
Unique sites:
Li (0.1581, 0.1357, 0.1605) (multiplicity 8)
As (0.0000, 0.3399, 0.7500) (multiplicity 4)
Pt (0.1301, 0.3684, 0.4962) (multiplicity 8)



Arrangement x

Below is a geometry-optimized Li2AsPt2 structure, with properties calculated at the PBE-GGA level.

abc: 7.1084 7.1084 2.9061
angles: 90.00 90.00 90.00
Space group P4/mbm (No. 127)
Unique sites:
Li (0.1204, 0.3796, 0.0000) (multiplicity 4)
As (0.0000, 0.0000, 0.5000) (multiplicity 2)
Pt (0.1794, 0.6794, 0.5000) (multiplicity 4)



Arrangement y

Below is a geometry-optimized Li2AsPt2 structure, with properties calculated at the PBE-GGA level.

abc: 6.9944 6.9944 2.8959
angles: 90.00 90.00 90.00
Space group P4/mbm (No. 127)
Unique sites:
Li (0.1151, 0.3849, 0.0000) (multiplicity 4)
As (0.0000, 0.0000, 0.0000) (multiplicity 2)
Pt (0.1845, 0.6845, 0.5000) (multiplicity 4)



Most stable one: arrangement w, least stable one: arrangement y.



Arrangement w

Below is a geometry-optimized Li4AsPt structure, with properties calculated at the PBE-GGA level.

abc: 5.1493 14.9700 4.3330
angles: 90.00 90.00 90.00
Space group Cmcm (No. 63)
Unique sites:
Li (0.2480, 0.0429, 0.2500) (multiplicity 8)
Li (0.2485, 0.2082, 0.2500) (multiplicity 8)
As (0.0000, 0.3712, 0.2500) (multiplicity 4)
Pt (0.0000, 0.1207, 0.7500) (multiplicity 4)



Arrangement x

Below is a geometry-optimized Li4AsPt structure, with properties calculated at the PBE-GGA level.

abc: 6.8340 6.8340 6.8340
angles: 90.00 90.00 90.00
Space group F-43m (No. 216)
Unique sites:
Li (0.1237, 0.1237, 0.1237) (multiplicity 16)
As (0.0000, 0.0000, 0.5000) (multiplicity 4)
Pt (0.2500, 0.2500, 0.7500) (multiplicity 4)



Most stable one: arrangement w, least stable one: arrangement x.